## Cr3WBr2O6 (PBE+U)

Data for a relaxed structure of Cr3WBr2O6.

Structure (POSCAR):
```
Cr3WBr2O6
1.0
5.411 -2.991 0.000
5.411 2.991 0.000
-1.130 0.000 5.187
Cr W Br O
3 1 2 6
Direct
0.000 0.000 0.000 Cr
0.000 0.500 0.500 Cr
0.500 0.000 0.500 Cr
0.500 0.500 0.500 W
0.203 0.203 0.841 Br
0.797 0.797 0.159 Br
0.189 0.682 0.713 O
0.316 0.316 0.337 O
0.318 0.811 0.287 O
0.682 0.189 0.713 O
0.684 0.684 0.663 O
0.811 0.318 0.287 O
```

* calculated total energy: -0.4896 Ry/atom
* ρ: 5.9 g/cm3
* volume: 167.9 Å³/cell